Arrangement i

First-principles (PBE-GGA) data for MnTlIr2 after structural relaxation, as listed in the Alexandria database.

CIF file:
```
data_MnTlIr2
_cell_length_a 2.906
_cell_length_b 4.299
_cell_length_c 5.469
_cell_angle_alpha 90.00
_cell_angle_beta 104.73
_cell_angle_gamma 90.00
_space_group_name_H-M_alt 'P 1 2/m 1'
_space_group_IT_number 10
_space_group_name_Hall '-P 2y'
loop_
_atom_site_label
_atom_site_type_symbol
_atom_site_fract_x
_atom_site_fract_y
_atom_site_fract_z
Mn1 Mn 0.000 0.000 0.000
Tl1 Tl 0.500 0.000 0.500
Ir1 Ir 0.154 0.500 0.777
```

Arrangement ii

First-principles (PBE-GGA) data for MnTlIr2 after structural relaxation, as listed in the Alexandria database.

CIF file:
```
data_MnTlIr2
_cell_length_a 2.950
_cell_length_b 2.950
_cell_length_c 7.421
_cell_angle_alpha 90.00
_cell_angle_beta 90.00
_cell_angle_gamma 90.00
_space_group_name_H-M_alt 'P 4/m m m'
_space_group_IT_number 123
_space_group_name_Hall '-P 4 2'
loop_
_atom_site_label
_atom_site_type_symbol
_atom_site_fract_x
_atom_site_fract_y
_atom_site_fract_z
Mn1 Mn 0.000 0.000 0.000
Tl1 Tl 0.000 0.000 0.500
Ir1 Ir 0.500 0.500 0.208
```

arrangement ii (0.156 eV/atom below the next structure)